A plane-wave DFT calculation with PBE was carried out for Er6HgP3S2 after structural relaxation.

Computed properties:
Formation energy without anion corrections: -1773.0 kJ/mol of formula units
Magnetic moment: 0.000 μB per atom
Symmetry: C2/m, No. 12

The structure in CIF format:
```
data_Er6HgP3S2
_cell_length_a 3.947
_cell_length_b 8.049
_cell_length_c 8.874
_cell_angle_alpha 102.08
_cell_angle_beta 102.85
_cell_angle_gamma 90.00
_space_group_name_H-M_alt 'P 1'
_space_group_IT_number 1
loop_
_space_group_symop_operation_xyz
'x,y,z'
loop_
_atom_site_label
_atom_site_fract_x
_atom_site_fract_y
_atom_site_fract_z
_atom_site_occupancy
Er1 0.325 0.911 0.650 1
Er2 0.665 0.592 0.331 1
Er3 0.675 0.089 0.350 1
Er4 0.002 0.272 0.005 1
Er5 0.998 0.728 0.995 1
Er6 0.335 0.408 0.669 1
Hg1 0.500 0.000 0.000 1
P1 0.500 0.500 0.000 1
P2 0.835 0.165 0.670 1
P3 0.165 0.835 0.330 1
S1 0.830 0.658 0.660 1
S2 0.170 0.342 0.340 1
```